(1)
Here is a geometry-optimized RbCa2Fe structure from Alexandria. Energies are from GGA-PBEsol.

Unit cell a=5.6276 b=5.6276 c=5.6276 alpha=60.00 beta=60.00 gamma=60.00
With the nearest neighbours (Å) after each atom.
Atoms (fractional coordinates):
1 Ca 0.2500 0.2500 0.2500  4 Rb 3.45, 4 Fe 3.45
2 Ca 0.7500 0.7500 0.7500  4 Fe 3.45, 4 Rb 3.45
3 Fe 0.0000 0.0000 0.0000  8 Ca 3.45
4 Rb 0.5000 0.5000 0.5000  8 Ca 3.45

As for the space group: Fm-3m. As for the formation energy: 0.8273 eV/atom.

=====

(2)
Here is a geometry-optimized RbSrCaFe2 structure from Alexandria. Energies are from GGA-PBEsol.

Unit cell a=5.2231 b=5.2231 c=6.1266 alpha=90.00 beta=90.00 gamma=90.00
With the nearest neighbours (Å) after each atom.
Atoms (fractional coordinates):
1 Sr 0.0000 0.0000 0.5000  2 Ca 3.06
2 Ca 0.0000 0.0000 0.0000  4 Fe 2.61
3 Fe 0.0000 0.5000 0.0000  2 Ca 2.61
4 Fe 0.5000 0.0000 0.0000  2 Ca 2.61
5 Rb 0.5000 0.5000 0.5000  4 Sr 3.69, 8 Fe 4.03

As for the space group: P4/mmm. As for the formation energy: 1.5003 eV/atom.

=====

(3)
Here is a geometry-optimized CaFeRe2 structure from Alexandria. Energies are from GGA-PBEsol.

Unit cell a=2.6051 b=5.1352 c=5.4082 alpha=115.52 beta=98.87 gamma=100.52
With the nearest neighbours (Å) after each atom.
Atoms (fractional coordinates):
1 Ca 0.5000 0.0000 0.0000  2 Ca 2.61, 2 Fe 2.66, 4 Re 2.81
2 Fe 0.0000 0.5000 0.0000  2 Fe 2.61, 2 Ca 2.66, 4 Re 2.81
3 Re 0.0000 0.0000 0.5000  4 Re 2.61-2.66, 2 Fe 2.81, 2 Ca 2.81
4 Re 0.5000 0.5000 0.5000  4 Re 2.61-2.66, 2 Fe 2.81, 2 Ca 2.81

As for the space group: C2/m. As for the formation energy: 0.6708 eV/atom. Its energy above the most stable polymorph in this dataset is 0.000 eV/atom.

=====

(4)
Here is a geometry-optimized CaFeRe2 structure from Alexandria. Energies are from GGA-PBEsol.

Unit cell a=3.0878 b=4.7172 c=5.2100 alpha=116.92 beta=107.24 gamma=90.00
With the nearest neighbours (Å) after each atom.
Atoms (fractional coordinates):
1 Ca 0.4954 0.4954 0.9908  8 Re 2.82-3.04, 4 Fe 2.83-3.10, 2 Ca 3.09
2 Fe 0.7254 0.2254 0.4507  2 Re 2.49
3 Re 0.0028 0.0028 0.0055  2 Fe 2.49, 2 Re 2.51
4 Re 0.2764 0.7764 0.5529  2 Re 2.51

As for the space group: Imm2. As for the formation energy: 0.7329 eV/atom. Its energy above the most stable polymorph in this dataset is 0.062 eV/atom.

=====

(5)
Here is a geometry-optimized CaScFe2Re structure from Alexandria. Energies are from GGA-PBEsol.

Unit cell a=4.2147 b=4.2147 c=4.5443 alpha=90.00 beta=90.00 gamma=90.00
With the nearest neighbours (Å) after each atom.
Atoms (fractional coordinates):
1 Sc 0.0000 0.0000 0.5000  2 Ca 2.27
2 Re 0.5000 0.5000 0.5000  4 Sc 2.98, 8 Fe 3.10
3 Ca 0.0000 0.0000 0.0000  4 Fe 2.11, 2 Sc 2.27
4 Fe 0.0000 0.5000 0.0000  2 Ca 2.11
5 Fe 0.5000 0.0000 0.0000  2 Ca 2.11

As for the space group: P4/mmm. As for the formation energy: 2.0940 eV/atom.

=====

(6)
Here is a geometry-optimized CaFeRh2 structure from Alexandria. Energies are from GGA-PBEsol.

Unit cell a=3.8474 b=3.8474 c=4.9849 alpha=112.70 beta=112.70 gamma=90.00
With the nearest neighbours (Å) after each atom.
Atoms (fractional coordinates):
1 Ca 0.5000 0.5000 0.0000  8 Rh 2.72-2.84, 4 Fe 2.84
2 Fe 0.2500 0.7500 0.5000  8 Rh 2.72-2.84, 4 Ca 2.84
3 Rh 0.0000 0.0000 0.0000  4 Ca 2.72, 4 Fe 2.84, 4 Rh 2.84
4 Rh 0.7500 0.2500 0.5000  4 Fe 2.72, 4 Ca 2.84, 4 Rh 2.84

As for the space group: I-4m2. As for the formation energy: 0.2394 eV/atom. Its energy above the most stable polymorph in this dataset is 0.173 eV/atom.

=====

(7)
Here is a geometry-optimized CaFeRh2 structure from Alexandria. Energies are from GGA-PBEsol.

Unit cell a=2.8171 b=3.6872 c=6.2726 alpha=90.00 beta=90.00 gamma=90.00
With the nearest neighbours (Å) after each atom.
Atoms (fractional coordinates):
1 Ca 0.0000 0.0000 0.4890  2 Ca 2.82, 5 Rh 2.91-3.05, 4 Fe 3.14
2 Fe 0.5000 0.5000 0.8256  5 Rh 2.41-2.50
3 Rh 0.0000 0.0000 0.9760  4 Fe 2.50, 4 Rh 2.74
4 Rh 0.5000 0.5000 0.2093  1 Fe 2.41

As for the space group: Pmm2. As for the formation energy: 0.1801 eV/atom. Its energy above the most stable polymorph in this dataset is 0.114 eV/atom.

=====

(8)
Here is a geometry-optimized CaFeRh structure from Alexandria. Energies are from GGA-PBEsol.

Unit cell a=4.3575 b=4.3575 c=4.3575 alpha=60.00 beta=60.00 gamma=60.00
With the nearest neighbours (Å) after each atom.
Atoms (fractional coordinates):
1 Ca 0.2500 0.2500 0.2500  4 Fe 2.67, 4 Rh 2.67
2 Rh 0.5000 0.5000 0.5000  4 Ca 2.67
3 Fe 0.0000 0.0000 0.0000  4 Ca 2.67

As for the space group: F-43m. As for the formation energy: 1.1864 eV/atom.

=====

(9)
Here is a geometry-optimized CaFeRh2 structure from Alexandria. Energies are from GGA-PBEsol.

Unit cell a=2.8883 b=2.8883 c=8.7008 alpha=80.45 beta=80.45 gamma=60.00
With the nearest neighbours (Å) after each atom.
Atoms (fractional coordinates):
1 Ca 0.5000 0.5000 0.5000  6 Rh 2.88, 6 Ca 2.89
2 Fe 0.0000 0.0000 0.0000  6 Rh 2.55
3 Rh 0.2581 0.2581 0.2257  3 Fe 2.55
4 Rh 0.7419 0.7419 0.7743  3 Fe 2.55

As for the space group: R-3m. As for the formation energy: 0.2606 eV/atom. Its energy above the most stable polymorph in this dataset is 0.194 eV/atom.

=====

(10)
Here is a geometry-optimized CaFeRh2 structure from Alexandria. Energies are from GGA-PBEsol.

Unit cell a=4.4180 b=4.4180 c=4.4180 alpha=60.00 beta=60.00 gamma=60.00
With the nearest neighbours (Å) after each atom.
Atoms (fractional coordinates):
1 Ca 0.0000 0.0000 0.0000  8 Rh 2.71
2 Fe 0.5000 0.5000 0.5000  8 Rh 2.71
3 Rh 0.2500 0.2500 0.2500  4 Ca 2.71, 4 Fe 2.71
4 Rh 0.7500 0.7500 0.7500  4 Fe 2.71, 4 Ca 2.71

As for the space group: Fm-3m. As for the formation energy: 0.0661 eV/atom. Its energy above the most stable polymorph in this dataset is 0.000 eV/atom.

=====

(11)
Here is a geometry-optimized CaFe2Ru structure from Alexandria. Energies are from GGA-PBEsol.

Unit cell a=2.6922 b=4.0265 c=5.8556 alpha=90.00 beta=102.32 gamma=90.00
With the nearest neighbours (Å) after each atom.
Atoms (fractional coordinates):
1 Ca 0.2363 0.5000 0.7533  2 Ca 2.69, 4 Fe 2.91-2.95, 2 Ru 2.97
2 Fe 0.9675 0.0000 0.0642  1 Ru 2.36, 2 Fe 2.40
3 Fe 0.7681 0.5000 0.2491  2 Fe 2.40, 2 Ru 2.44
4 Ru 0.5281 0.0000 0.4333  3 Fe 2.36-2.44

As for the space group: Pm. As for the formation energy: 0.5125 eV/atom.

=====

(12)
Here is a geometry-optimized CaFe2Ru structure from Alexandria. Energies are from GGA-PBEsol.

Unit cell a=2.7769 b=4.6049 c=5.3242 alpha=115.62 beta=105.12 gamma=90.00
With the nearest neighbours (Å) after each atom.
Atoms (fractional coordinates):
1 Ca 0.2524 0.7524 0.5047  6 Fe 2.69-2.92, 2 Ca 2.78, 2 Ru 2.93
2 Fe 0.0313 0.0313 0.0627  2 Fe 2.41
3 Fe 0.7452 0.2452 0.4903  2 Fe 2.41, 2 Ru 2.50, 4 Ca 2.69
4 Ru 0.4712 0.4712 0.9423  6 Fe 2.50-2.75, 2 Ru 2.78

As for the space group: Imm2. As for the formation energy: 0.5339 eV/atom.

=====

(13)
Here is a geometry-optimized CaFe2Ru structure from Alexandria. Energies are from GGA-PBEsol.

Unit cell a=3.0441 b=4.3735 c=4.4147 alpha=90.00 beta=90.00 gamma=90.00
With the nearest neighbours (Å) after each atom.
Atoms (fractional coordinates):
1 Ca 0.0000 0.5000 0.5000  4 Ru 2.66, 4 Fe 2.68
2 Fe 0.0000 0.0000 0.0000  4 Fe 2.66, 4 Ru 2.68
3 Fe 0.5000 0.5000 0.0000  4 Fe 2.66, 4 Ca 2.68
4 Ru 0.5000 0.0000 0.5000  4 Ca 2.66, 4 Fe 2.68

As for the space group: Pmmm. As for the formation energy: 0.6759 eV/atom.

=====

(14)
Here is a geometry-optimized CaFeRu structure from Alexandria. Energies are from GGA-PBEsol.

Unit cell a=2.8664 b=2.8664 c=6.7568 alpha=90.00 beta=90.00 gamma=120.00
With the nearest neighbours (Å) after each atom.
Atoms (fractional coordinates):
1 Ru 0.6667 0.3333 0.3645  3 Fe 2.47
2 Ca 0.0000 0.0000 0.0003  6 Ca 2.87, 3 Ru 2.97, 3 Fe 2.97
3 Fe 0.3333 0.6667 0.6352  3 Ru 2.47

As for the space group: P3m1. As for the formation energy: 0.7390 eV/atom.

=====

(15)
Here is a geometry-optimized CaFeS3 structure from Alexandria. Energies are from GGA-PBEsol.

Unit cell a=4.5223 b=4.5223 c=4.5223 alpha=90.00 beta=90.00 gamma=90.00
With the nearest neighbours (Å) after each atom.
Atoms (fractional coordinates):
1 S 0.0000 0.5000 0.0000  2 Fe 2.26
2 S 0.0000 0.0000 0.5000  2 Fe 2.26
3 S 0.5000 0.0000 0.0000  2 Fe 2.26
4 Ca 0.5000 0.5000 0.5000  12 S 3.20
5 Fe 0.0000 0.0000 0.0000  6 S 2.26

As for the space group: Pm-3m. The uncorrected formation energy is -0.73 eV/atom.

=====

no.,E_tot (eV for the cell shown),V (Å³/cell),DOS at the Fermi energy (states/eV per cell)
1,-10.9,126,8.6
2,-15.4,167,10.3
3,-35.1,62,3.3
4,-34.8,64,3.7
5,-29.5,81,7.3
6,-26.4,62,5.7
7,-26.7,65,4.4
8,-15.7,59,3.4
9,-26.3,62,3.8
10,-27.1,61,1.6
11,-28.2,62,4.3
12,-28.1,59,4.6
13,-27.5,59,5.2
14,-19.1,48,3.3
15,-27.9,92,4.1